# ZrAgOs4

An optimized crystal structure of ZrAgOs4 (PBE, Alexandria). Values from VASP.

Calculated values
- ΔH_f (0 K): 0.19 eV per atom
- Magnetic moment: 0.00 μB/f.u.
- N(E_F): 8.12 states/eV/f.u.
- SG: F-43m, No. 216

```
&SYSTEM
  ibrav = 0, nat = 6, ntyp = 3
/
ATOMIC_SPECIES
Zr 91.22 Zr.upf
Ag 107.87 Ag.upf
Os 190.23 Os.upf
ATOMIC_POSITIONS angstrom
Zr 0.000 0.000 0.000
Ag 5.536 5.536 5.536
Os 2.770 2.770 2.770
Os 4.611 4.611 2.770
Os 4.611 2.770 4.611
Os 2.770 4.611 4.611
CELL_PARAMETERS angstrom
0.000 3.691 3.691
3.691 0.000 3.691
3.691 3.691 0.000
```

---

# Hf2MgICl

An optimized crystal structure of Hf2MgICl (PBE, Alexandria). Values from VASP.

Calculated values
- Total energy: -20.57 eV/cell
- Magnetic moment: 0.00 μB/f.u.
- N(E_F): 6.95 states/eV/f.u.
- SG: P4/mmm, No. 123

```
&SYSTEM
  ibrav = 0, nat = 5, ntyp = 4
/
ATOMIC_SPECIES
Hf 178.49 Hf.upf
Mg 24.30 Mg.upf
I 126.90 I.upf
Cl 35.45 Cl.upf
ATOMIC_POSITIONS angstrom
Hf 0.000 2.700 0.000
Hf 2.700 0.000 0.000
Mg 0.000 0.000 0.000
I 2.700 2.700 2.353
Cl 0.000 0.000 2.353
CELL_PARAMETERS angstrom
5.400 0.000 0.000
0.000 5.400 0.000
0.000 0.000 4.706
```

---

# BeIn3Ni

An optimized crystal structure of BeIn3Ni (PBE, Alexandria). Values from VASP.

Calculated values
- Polymorph energy (0 for the lowest one): 0.181 eV per atom
- ΔH_f (0 K): 0.64 eV per atom
- Magnetic moment: 0.00 μB/f.u.
- N(E_F): 4.22 states/eV/f.u.
- SG: Pm-3m, No. 221

```
&SYSTEM
  ibrav = 0, nat = 5, ntyp = 3
/
ATOMIC_SPECIES
Be 9.01 Be.upf
In 114.82 In.upf
Ni 58.69 Ni.upf
ATOMIC_POSITIONS angstrom
Be 0.000 0.000 0.000
In 0.000 0.000 2.387
In 0.000 2.387 0.000
In 2.387 0.000 0.000
Ni 2.387 2.387 2.387
CELL_PARAMETERS angstrom
4.774 0.000 0.000
0.000 4.774 0.000
0.000 0.000 4.774
```

---

What is the N(E_F) in the first record?
8.12 states/eV/f.u.

---

Repeat the first record exactly.
# ZrAgOs4

An optimized crystal structure of ZrAgOs4 (PBE, Alexandria). Values from VASP.

Calculated values
- ΔH_f (0 K): 0.19 eV per atom
- Magnetic moment: 0.00 μB/f.u.
- N(E_F): 8.12 states/eV/f.u.
- SG: F-43m, No. 216

```
&SYSTEM
  ibrav = 0, nat = 6, ntyp = 3
/
ATOMIC_SPECIES
Zr 91.22 Zr.upf
Ag 107.87 Ag.upf
Os 190.23 Os.upf
ATOMIC_POSITIONS angstrom
Zr 0.000 0.000 0.000
Ag 5.536 5.536 5.536
Os 2.770 2.770 2.770
Os 4.611 4.611 2.770
Os 4.611 2.770 4.611
Os 2.770 4.611 4.611
CELL_PARAMETERS angstrom
0.000 3.691 3.691
3.691 0.000 3.691
3.691 3.691 0.000
```